Entry 1:
The following is a PBE calculation of RbLuNi after structural relaxation, from OQMD.

a = 7.106 Å, b = 7.106 Å, c = 7.106 Å
α = 90.00°, β = 90.00°, γ = 90.00°
Space group F-43m (No. 216)
One atom of each set of equivalent atoms:
Rb 0.000 0.000 0.000 (multiplicity 4)
Lu 0.250 0.250 0.750 (multiplicity 4)
Ni 0.250 0.250 0.250 (multiplicity 4)

**Energy**: -26.3 eV for the cell shown
**Magnetic moment**: 0.00 μB per formula unit

=====

Entry 2:
The following is a PBE calculation of RbLuNi after structural relaxation, from OQMD.

a = 7.079 Å, b = 7.079 Å, c = 7.079 Å
α = 90.00°, β = 90.00°, γ = 90.00°
Space group F-43m (No. 216)
One atom of each set of equivalent atoms:
Rb 0.000 0.000 0.000 (multiplicity 4)
Lu 0.000 0.000 0.500 (multiplicity 4)
Ni 0.250 0.250 0.750 (multiplicity 4)

**Energy**: -36.0 eV for the cell shown
**Magnetic moment**: 0.00 μB per formula unit

=====

Entry 3:
The following is a PBE calculation of RbLuNiTe3 after structural relaxation, from OQMD.

a = 4.191 Å, b = 17.716 Å, c = 10.496 Å
α = 90.00°, β = 90.00°, γ = 90.00°
Space group Cmcm (No. 63)
One atom of each set of equivalent atoms:
Rb 0.000 0.246 0.250 (multiplicity 4)
Lu 0.000 0.500 0.000 (multiplicity 4)
Ni 0.000 0.010 0.750 (multiplicity 4)
Te 0.000 0.112 0.582 (multiplicity 8)
Te 0.000 0.422 0.750 (multiplicity 4)

**Energy**: -102.9 eV for the cell shown
**Magnetic moment**: 0.02 μB per formula unit

=====

Entry 4:
The following is a PBE calculation of RbLuNiTe3 after structural relaxation, from OQMD.

a = 10.440 Å, b = 4.366 Å, c = 16.601 Å
α = 90.00°, β = 90.00°, γ = 90.00°
Space group Pnma (No. 62)
One atom of each set of equivalent atoms:
Rb 0.212 0.250 0.000 (multiplicity 4)
Lu 0.005 0.750 0.270 (multiplicity 4)
Ni 0.227 0.250 0.254 (multiplicity 4)
Te 0.075 0.750 0.845 (multiplicity 4)
Te 0.091 0.250 0.382 (multiplicity 4)
Te 0.241 0.750 0.167 (multiplicity 4)

**Energy**: -102.5 eV for the cell shown
**Magnetic moment**: 0.00 μB per formula unit